[1]
A geometry-optimized LiH4Rh3 structure, computed with PBE.

SG: No. 221

a = 3.9675 Å, b = 3.9675 Å, c = 3.9675 Å
α = 90.00°, β = 90.00°, γ = 90.00°
Fractional positions:
Li 0.0000 0.0000 0.0000
H 0.0000 0.0000 0.5000
H 0.0000 0.5000 0.0000
H 0.5000 0.0000 0.0000
H 0.5000 0.5000 0.5000
Rh 0.0000 0.5000 0.5000
Rh 0.5000 0.0000 0.5000
Rh 0.5000 0.5000 0.0000

---

[2]
A geometry-optimized Li4H7Rh structure, computed with PBE.

SG: No. 12

a = 6.0142 Å, b = 6.0142 Å, c = 6.9398 Å
α = 122.33°, β = 122.33°, γ = 30.99°
Fractional positions:
Li 0.0032 0.0032 0.3155
Li 0.2533 0.2533 0.2458
Li 0.7467 0.7467 0.7542
Li 0.9968 0.9968 0.6845
H 0.0000 0.0000 0.0000
H 0.1338 0.1338 0.6288
H 0.3741 0.3741 0.0497
H 0.3821 0.3821 0.7136
H 0.6179 0.6179 0.2864
H 0.6259 0.6259 0.9503
H 0.8662 0.8662 0.3712
Rh 0.5000 0.5000 0.0000

---

[3]
A geometry-optimized LiH3Rh structure, computed with PBE.

SG: No. 38

a = 2.8294 Å, b = 4.3571 Å, c = 4.3571 Å
α = 69.17°, β = 90.00°, γ = 90.00°
Fractional positions:
Li 0.0000 0.0000 0.0000
H 0.0000 0.1333 0.5573
H 0.0000 0.5573 0.1333
H 0.5000 0.1476 0.1476
Rh 0.5000 0.3634 0.3634

---

[4]
A geometry-optimized LiH3Rh structure, computed with PBE.

SG: No. 15

a = 5.9065 Å, b = 5.9065 Å, c = 5.0640 Å
α = 103.25°, β = 103.25°, γ = 85.22°
Fractional positions:
Li 0.0865 0.3221 0.2691
Li 0.3221 0.0865 0.7691
Li 0.6779 0.9135 0.2309
Li 0.9135 0.6779 0.7309
H 0.0172 0.1696 0.8970
H 0.1596 0.6688 0.5231
H 0.1696 0.0172 0.3970
H 0.3097 0.4712 0.0066
H 0.3312 0.8404 0.9769
H 0.4712 0.3097 0.5066
H 0.5288 0.6903 0.4934
H 0.6688 0.1596 0.0231
H 0.6903 0.5288 0.9934
H 0.8304 0.9828 0.6030
H 0.8404 0.3312 0.4769
H 0.9828 0.8304 0.1030
Rh 0.2394 0.7606 0.2500
Rh 0.4129 0.5871 0.7500
Rh 0.5871 0.4129 0.2500
Rh 0.7606 0.2394 0.7500

---

[5]
A geometry-optimized Li3H4Rh structure, computed with PBE.

SG: No. 63

a = 4.8291 Å, b = 4.8291 Å, c = 8.7635 Å
α = 90.00°, β = 90.00°, γ = 134.65°
Fractional positions:
Li 0.0070 0.9930 0.7500
Li 0.3369 0.6631 0.5698
Li 0.3369 0.6631 0.9302
Li 0.6631 0.3369 0.0698
Li 0.6631 0.3369 0.4302
Li 0.9930 0.0070 0.2500
H 0.1698 0.8302 0.1115
H 0.1698 0.8302 0.3885
H 0.4394 0.5606 0.1220
H 0.4394 0.5606 0.3780
H 0.5606 0.4394 0.6220
H 0.5606 0.4394 0.8780
H 0.8302 0.1698 0.6115
H 0.8302 0.1698 0.8885
Rh 0.3001 0.6999 0.2500
Rh 0.6999 0.3001 0.7500

---

[6]
A geometry-optimized LiH3Rh structure, computed with PBE.

SG: No. 99

a = 2.8965 Å, b = 2.8965 Å, c = 4.6010 Å
α = 90.00°, β = 90.00°, γ = 90.00°
Fractional positions:
Li 0.0000 0.0000 0.0000
H 0.0000 0.0000 0.6011
H 0.0000 0.5000 0.2731
H 0.5000 0.0000 0.2731
Rh 0.5000 0.5000 0.4823

---

[7]
A geometry-optimized LiH3Rh structure, computed with PBE.

SG: No. 148

a = 4.9436 Å, b = 4.9436 Å, c = 4.9436 Å
α = 59.45°, β = 59.45°, γ = 59.45°
Fractional positions:
Li 0.1151 0.1151 0.1151
Li 0.8849 0.8849 0.8849
H 0.0585 0.4607 0.6988
H 0.3012 0.9415 0.5393
H 0.4607 0.6988 0.0585
H 0.5393 0.3012 0.9415
H 0.6988 0.0585 0.4607
H 0.9415 0.5393 0.3012
Rh 0.3344 0.3344 0.3344
Rh 0.6656 0.6656 0.6656

---

[8]
A geometry-optimized LiHRh2 structure, computed with PBE.

SG: No. 166

a = 7.4379 Å, b = 7.4379 Å, c = 7.4379 Å
α = 21.33°, β = 21.33°, γ = 21.33°
Fractional positions:
Li 0.0000 0.0000 0.0000
H 0.5000 0.5000 0.5000
Rh 0.1123 0.1123 0.1123
Rh 0.8877 0.8877 0.8877

---

[9]
A geometry-optimized LiH6Rh2 structure, computed with PBE.

SG: No. 139

a = 7.1369 Å, b = 7.1369 Å, c = 7.1369 Å
α = 155.60°, β = 155.60°, γ = 34.78°
Fractional positions:
Li 0.0000 0.0000 0.0000
H 0.0961 0.5961 0.5000
H 0.2500 0.7500 0.5000
H 0.4039 0.9039 0.5000
H 0.5961 0.0961 0.5000
H 0.7500 0.2500 0.5000
H 0.9039 0.4039 0.5000
Rh 0.3384 0.3384 0.0000
Rh 0.6616 0.6616 0.0000

---

[10]
A geometry-optimized Li5H6Rh2 structure, computed with PBE.

SG: No. 55

a = 8.7456 Å, b = 9.4719 Å, c = 2.9363 Å
α = 90.00°, β = 90.00°, γ = 90.00°
Fractional positions:
Li 0.0000 0.0000 0.0000
Li 0.0868 0.2892 0.0000
Li 0.1976 0.5635 0.0000
Li 0.3024 0.0635 0.0000
Li 0.4132 0.7892 0.0000
Li 0.5000 0.5000 0.0000
Li 0.5868 0.2108 0.0000
Li 0.6976 0.9365 0.0000
Li 0.8024 0.4365 0.0000
Li 0.9132 0.7108 0.0000
H 0.0545 0.6361 0.5000
H 0.1892 0.1824 0.5000
H 0.1976 0.8882 0.0000
H 0.3024 0.3882 0.0000
H 0.3108 0.6824 0.5000
H 0.4455 0.1361 0.5000
H 0.5545 0.8639 0.5000
H 0.6892 0.3176 0.5000
H 0.6976 0.6118 0.0000
H 0.8024 0.1118 0.0000
H 0.8108 0.8176 0.5000
H 0.9455 0.3639 0.5000
Rh 0.1556 0.7889 0.5000
Rh 0.3444 0.2889 0.5000
Rh 0.6556 0.7111 0.5000
Rh 0.8444 0.2111 0.5000

---

[11]
A geometry-optimized LiH3Rh2 structure, computed with PBE.

SG: No. 191

a = 4.6274 Å, b = 4.6274 Å, c = 2.7872 Å
α = 90.00°, β = 90.00°, γ = 120.00°
Fractional positions:
Li 0.0000 0.0000 0.0000
H 0.0000 0.5000 0.0000
H 0.5000 0.0000 0.0000
H 0.5000 0.5000 0.0000
Rh 0.3333 0.6667 0.5000
Rh 0.6667 0.3333 0.5000

---

[12]
A geometry-optimized Li2HRh2 structure, computed with PBE.

SG: No. 127

a = 5.2071 Å, b = 5.2071 Å, c = 4.3959 Å
α = 90.00°, β = 90.00°, γ = 90.00°
Fractional positions:
Li 0.1624 0.3376 0.0000
Li 0.3376 0.8376 0.0000
Li 0.6624 0.1624 0.0000
Li 0.8376 0.6624 0.0000
H 0.0000 0.0000 0.5000
H 0.5000 0.5000 0.5000
Rh 0.1806 0.6806 0.5000
Rh 0.3194 0.1806 0.5000
Rh 0.6806 0.8194 0.5000
Rh 0.8194 0.3194 0.5000

---

Quick rundown of mass density, same order as above: 8.50, 2.13, 3.73, 4.48, 2.92, 4.86, 4.44, 7.44, 5.86, 3.37, 6.93, 6.15 g cm⁻³
Quick rundown of calculated volume, same order as above: 62.5, 107.5, 50.2, 167.3, 145.4, 38.6, 84.4, 47.7, 62.0, 243.2, 51.7, 119.2 Å³/cell
Quick rundown of energy, same order as above: -4.885, -3.522, -3.958, -4.103, -3.744, -3.982, -4.093, -4.870, -4.224, -3.706, -4.579, -4.510 eV per atom